Entry 1:
# LiCePd2 | Alexandria via LeMat-Bulk | PBE | relaxed
data_LiCePd2
_cell_length_a 3.3709
_cell_length_b 3.3709
_cell_length_c 6.4702
_cell_angle_alpha 90.00
_cell_angle_beta 90.00
_cell_angle_gamma 90.00
_space_group_name_H-M_alt 'P 4/m m m'
_space_group_IT_number 123
_space_group_name_Hall '-P 4 2'
loop_
_atom_site_label
_atom_site_type_symbol
_atom_site_fract_x
_atom_site_fract_y
_atom_site_fract_z
_atom_site_occupancy
Li1 Li 0.0000 0.0000 0.0000 1
Ce1 Ce 0.0000 0.0000 0.5000 1
Pd1 Pd 0.5000 0.5000 0.2172 1
# * formation enthalpy at 0 K: -0.57 eV/atom

Entry 2:
# Cs2RbNbI6 | Alexandria via LeMat-Bulk | PBE | relaxed
data_Cs2RbNbI6
_cell_length_a 12.6769
_cell_length_b 12.6769
_cell_length_c 12.6769
_cell_angle_alpha 90.00
_cell_angle_beta 90.00
_cell_angle_gamma 90.00
_space_group_name_H-M_alt 'F m -3 m'
_space_group_IT_number 225
_space_group_name_Hall '-F 4 2 3'
loop_
_atom_site_label
_atom_site_type_symbol
_atom_site_fract_x
_atom_site_fract_y
_atom_site_fract_z
_atom_site_occupancy
Cs1 Cs 0.2500 0.2500 0.2500 1
Rb1 Rb 0.0000 0.0000 0.0000 1
Nb1 Nb 0.0000 0.0000 0.5000 1
I1 I 0.0000 0.0000 0.2743 1
# * raw formation energy: -1.037 eV per atom
# * energy above the most stable polymorph in this dataset: 0.010 eV per atom

What E values result from the calculations? In sequence: -5.126 -3.241 eV per atom.